Model P:
Compound: Ac4N2Cl3
Source: the Alexandria database
Functional: PBE
Structure: optimized geometry

Cell: 3.7860 7.3852 9.4022 Å, 100.36 90.00 104.85°
Sites, in units of the cell vectors:
Ac 0.3522 0.7044 0.1101
Ac 0.8503 0.7006 0.7194
Ac 0.1497 0.2994 0.2806
Ac 0.6478 0.2956 0.8899
N 0.7245 0.4489 0.1556
N 0.2755 0.5511 0.8444
Cl 0.6433 0.2867 0.5395
Cl 0.0000 0.0000 0.0000
Cl 0.3567 0.7133 0.4605

Output
The density of states at the Fermi level comes out at 0.469 states/eV per atom. As for the space-group type: C2/m. As for the magnetization: 0.000 μB/f.u. The calculation puts the density at 6.93 g cm⁻³.

Model Q:
Compound: Ac4N2Cl3
Source: the Alexandria database
Functional: PBE
Structure: optimized geometry

Cell: 3.7176 7.8758 8.8428 Å, 101.28 90.00 103.65°
Sites, in units of the cell vectors:
Ac 0.6779 0.3558 0.1089
Ac 0.0927 0.1853 0.7120
Ac 0.9073 0.8147 0.2880
Ac 0.3221 0.6442 0.8911
N 0.3014 0.6028 0.1860
N 0.6986 0.3972 0.8140
Cl 0.4139 0.8278 0.5953
Cl 0.0000 0.0000 0.0000
Cl 0.5861 0.1722 0.4047

Output
The density of states at the Fermi level comes out at 0.422 states/eV per atom. As for the space-group type: C2/m. As for the magnetization: 0.000 μB/f.u. The calculation puts the density at 7.02 g cm⁻³.

Which structure is the least stable? The one labeled model Q.

Model P:
Compound: AcNCl
Source: the Alexandria database
Functional: PBE
Structure: optimized geometry

Cell: 3.9624 4.3008 10.4020 Å, 100.25 90.00 117.43°
Sites, in units of the cell vectors:
Ac 0.4097 0.8194 0.1445
Ac 0.5903 0.1806 0.8555
N 0.0836 0.1672 0.0474
N 0.9164 0.8328 0.9526
Cl 0.7908 0.5816 0.3239
Cl 0.2092 0.4184 0.6761

Output
As for the space-group type: C2/m. As for the magnetization: 0.000 μB/f.u. The calculation puts the density at 5.96 g cm⁻³.

Model Q:
Compound: AcNCl
Source: the Alexandria database
Functional: PBE
Structure: optimized geometry

Cell: 4.1710 4.1710 9.4744 Å, 91.92 91.92 71.14°
Sites, in units of the cell vectors:
Ac 0.3014 0.3014 0.1552
Ac 0.6986 0.6986 0.8448
N 0.8407 0.1593 0.0000
N 0.1593 0.8407 0.0000
Cl 0.3058 0.3058 0.6661
Cl 0.6942 0.6942 0.3339

Output
As for the space-group type: C2/m. As for the magnetization: 0.000 μB/f.u. The calculation puts the density at 5.89 g cm⁻³.

Model R:
Compound: AcNCl
Source: the Alexandria database
Functional: PBE
Structure: optimized geometry

Cell: 3.6308 7.1569 7.1569 Å, 62.89 75.31 75.31°
Sites, in units of the cell vectors:
Ac 0.5000 0.7206 0.2794
Ac 0.5000 0.2794 0.7206
N 0.0664 0.4336 0.4336
N 0.9336 0.5664 0.5664
Cl 0.8566 0.1434 0.1434
Cl 0.1434 0.8566 0.8566

Output
The density of states at the Fermi level comes out at 0.319 states/eV per atom. As for the space-group type: Immm. As for the magnetization: 0.000 μB/f.u. The calculation puts the density at 5.81 g cm⁻³.

Which structure is the least stable? The one labeled model R.

Model P:
Compound: NaAcCl4
Source: the Alexandria database
Functional: PBE
Structure: optimized geometry

Cell: 7.0207 7.0207 8.5778 Å, 114.16 114.16 90.00°
Sites, in units of the cell vectors:
Na 0.0000 0.0000 0.0000
Na 0.7500 0.2500 0.5000
Ac 0.2500 0.7500 0.5000
Ac 0.5000 0.5000 0.0000
Cl 0.1309 0.1250 0.7500
Cl 0.8750 0.8691 0.2500
Cl 0.1309 0.6250 0.7500
Cl 0.3750 0.3809 0.2500
Cl 0.6191 0.1250 0.7500
Cl 0.6191 0.6250 0.7500
Cl 0.3750 0.8691 0.2500
Cl 0.8750 0.3809 0.2500

Output
The density of states at the Fermi level comes out at 0.000 states/eV per atom. As for the space-group type: I4_1/amd. As for the magnetization: 0.000 μB/f.u. The calculation puts the density at 3.77 g cm⁻³.

Model Q:
Compound: NaAcCl4
Source: the Alexandria database
Functional: PBE
Structure: optimized geometry

Cell: 5.7525 8.4893 9.2489 Å, 90.00 90.00 110.28°
Sites, in units of the cell vectors:
Na 0.7750 0.0282 0.7500
Na 0.2250 0.9718 0.2500
Ac 0.0564 0.6073 0.7500
Ac 0.9436 0.3927 0.2500
Cl 0.5848 0.6636 0.7500
Cl 0.4152 0.3364 0.2500
Cl 0.2452 0.9684 0.7500
Cl 0.7548 0.0316 0.2500
Cl 0.0825 0.6979 0.0629
Cl 0.9175 0.3021 0.5629
Cl 0.0825 0.6979 0.4371
Cl 0.9175 0.3021 0.9371

Output
The density of states at the Fermi level comes out at 0.000 states/eV per atom. As for the space-group type: P2_1/m. As for the magnetization: 0.029 μB/f.u. The calculation puts the density at 3.07 g cm⁻³.

Which structure is the least stable? The one labeled model Q.

Model P:
Compound: Ac2ClO
Source: the Alexandria database
Functional: PBE
Structure: optimized geometry

Cell: 3.8608 3.8608 7.8774 Å, 75.81 75.81 60.00°
Sites, in units of the cell vectors:
Ac 0.7328 0.7328 0.8017
Ac 0.2672 0.2672 0.1983
O 0.0000 0.0000 0.0000
Cl 0.5000 0.5000 0.5000

Output
The density of states at the Fermi level comes out at 0.744 states/eV per atom. As for the space-group type: R-3m. As for the magnetization: 0.000 μB/f.u. The calculation puts the density at 8.61 g cm⁻³.

Model Q:
Compound: Ac2ClO
Source: the Alexandria database
Functional: PBE
Structure: optimized geometry

Cell: 3.5419 3.5419 7.3569 Å, 90.00 90.00 90.00°
Sites, in units of the cell vectors:
Ac 0.0000 0.0000 0.7711
Ac 0.0000 0.0000 0.2289
O 0.5000 0.5000 0.0000
Cl 0.5000 0.5000 0.5000

Output
The density of states at the Fermi level comes out at 0.891 states/eV per atom. As for the space-group type: P4/mmm. As for the magnetization: 0.000 μB/f.u. The calculation puts the density at 9.09 g cm⁻³.

Which structure is the least stable? The one labeled model Q.

Model P:
Compound: AcPCl
Source: the Alexandria database
Functional: PBE
Structure: optimized geometry

Cell: 5.2123 4.8916 9.1614 Å, 65.39 73.47 57.81°
Sites, in units of the cell vectors:
Ac 0.7945 0.1373 0.2737
Ac 0.2055 0.8627 0.7263
P 0.5748 0.2503 0.6002
P 0.4252 0.7497 0.3998
Cl 0.1619 0.5629 0.1133
Cl 0.8381 0.4371 0.8867

Output
As for the space-group type: C2/m. As for the magnetization: 0.000 μB/f.u. The calculation puts the density at 5.44 g cm⁻³.

Model Q:
Compound: AcPCl
Source: the Alexandria database
Functional: PBE
Structure: optimized geometry

Cell: 8.0539 6.0599 5.2767 Å, 48.38 79.44 82.14°
Sites, in units of the cell vectors:
Cl 0.5648 0.1921 0.5788
Cl 0.4352 0.8079 0.4212
P 0.0348 0.1702 0.5028
P 0.9652 0.8298 0.4972
Ac 0.7871 0.7226 0.1352
Ac 0.2129 0.2774 0.8648

Output
As for the space-group type: P-1. As for the magnetization: 0.000 μB/f.u. The calculation puts the density at 5.15 g cm⁻³.

Which structure is the least stable? The one labeled model Q.

Model P:
Compound: AcPCl
Source: the Alexandria database
Functional: PBE
Structure: optimized geometry

Cell: 3.8862 4.9451 4.9451 Å, 120.00 90.00 90.00°
Sites, in units of the cell vectors:
P 0.6664 0.6667 0.3333
Ac 0.1660 0.0000 0.0000
Cl 0.1676 0.3333 0.6667

Output
The density of states at the Fermi level comes out at 1.144 states/eV per atom. As for the space-group type: P-6m2. As for the magnetization: 0.000 μB/f.u. The calculation puts the density at 5.92 g cm⁻³.

Model Q:
Compound: AcPCl
Source: the Alexandria database
Functional: PBE
Structure: optimized geometry

Cell: 4.1204 4.1204 5.7289 Å, 111.08 111.08 90.00°
Sites, in units of the cell vectors:
P 0.0339 0.0339 0.0679
Ac 0.6416 0.6416 0.2832
Cl 0.3245 0.3245 0.6489

Output
The density of states at the Fermi level comes out at 0.259 states/eV per atom. As for the space-group type: I4mm. As for the magnetization: 1.002 μB/f.u. The calculation puts the density at 5.82 g cm⁻³.

Which structure is the least stable? The one labeled model P.

Model P:
Compound: AcPdCl
Source: the Alexandria database
Functional: PBE
Structure: optimized geometry

Cell: 4.5142 4.5142 10.7779 Å, 88.04 88.04 60.06°
Sites, in units of the cell vectors:
Ac 0.9897 0.9897 0.6884
Ac 0.0103 0.0103 0.3116
Pd 0.6649 0.6649 0.5327
Pd 0.3351 0.3351 0.4673
Cl 0.6853 0.6853 0.1543
Cl 0.3147 0.3147 0.8457

Output
As for the space-group type: C2/m. As for the magnetization: 0.000 μB/f.u. The calculation puts the density at 6.44 g cm⁻³.

Model Q:
Compound: AcPdCl
Source: the Alexandria database
Functional: PBE
Structure: optimized geometry

Cell: 3.9642 3.9642 5.6506 Å, 110.53 110.53 90.00°
Sites, in units of the cell vectors:
Ac 0.2970 0.2970 0.5940
Pd 0.9390 0.9390 0.8780
Cl 0.6140 0.6140 0.2279

Output
As for the space-group type: I4mm. As for the magnetization: 0.000 μB/f.u. The calculation puts the density at 7.94 g cm⁻³.

Which structure is the least stable? The one labeled model Q.

Model P:
Compound: AcPrCl
Source: the Alexandria database
Functional: PBE
Structure: optimized geometry

Cell: 3.7247 3.7247 7.6435 Å, 104.10 104.10 90.00°
Sites, in units of the cell vectors:
Pr 0.6854 0.6854 0.3708
Ac 0.9890 0.9890 0.9780
Cl 0.3256 0.3256 0.6512

Output
The density of states at the Fermi level comes out at 1.521 states/eV per atom. As for the space-group type: I4mm. As for the magnetization: 0.000 μB/f.u. The calculation puts the density at 6.73 g cm⁻³.

Model Q:
Compound: AcPrCl
Source: the Alexandria database
Functional: PBE
Structure: optimized geometry

Cell: 3.9536 3.9536 7.7167 Å, 90.00 90.00 120.00°
Sites, in units of the cell vectors:
Pr 0.6667 0.3333 0.3726
Ac 0.0000 0.0000 0.9798
Cl 0.3333 0.6667 0.6476

Output
The density of states at the Fermi level comes out at 1.109 states/eV per atom. As for the space-group type: P3m1. As for the magnetization: 0.537 μB/f.u. The calculation puts the density at 6.41 g cm⁻³.

Model R:
Compound: AcPrCl
Source: the Alexandria database
Functional: PBE
Structure: optimized geometry

Cell: 7.6972 7.6972 5.7050 Å, 113.13 113.13 114.64°
Sites, in units of the cell vectors:
Cl 0.7113 0.7113 0.4217
Cl 0.2887 0.2887 0.5783
Pr 0.7896 0.7896 0.9999
Pr 0.2104 0.2104 0.0001
Ac 0.7274 0.2726 0.0000
Ac 0.2726 0.7274 0.0000

Output
The density of states at the Fermi level comes out at 1.326 states/eV per atom. As for the space-group type: C2/m. As for the magnetization: 0.000 μB/f.u. The calculation puts the density at 6.35 g cm⁻³.

Which structure is the least stable? The one labeled model R.

Model P:
Compound: Ac4Pt2Cl
Source: the Alexandria database
Functional: PBE
Structure: optimized geometry

Cell: 5.7556 5.7556 8.4808 Å, 109.84 109.84 90.00°
Sites, in units of the cell vectors:
Ac 0.7876 0.7876 0.5752
Ac 0.2124 0.2124 0.4248
Ac 0.0000 0.5000 0.0000
Ac 0.5000 0.0000 0.0000
Pt 0.5977 0.5977 0.1954
Pt 0.4023 0.4023 0.8046
Cl 0.0000 0.0000 0.0000

Output
The density of states at the Fermi level comes out at 0.916 states/eV per atom. As for the space-group type: I4/mmm. As for the magnetization: 0.000 μB/f.u. The calculation puts the density at 8.98 g cm⁻³.

Model Q:
Compound: Ac4Pt2Cl
Source: the Alexandria database
Functional: PBE
Structure: optimized geometry

Cell: 4.4319 4.4319 15.3413 Å, 81.69 81.69 60.00°
Sites, in units of the cell vectors:
Ac 0.1235 0.1235 0.6294
Ac 0.2814 0.2814 0.1559
Ac 0.7186 0.7186 0.8441
Ac 0.8765 0.8765 0.3706
Pt 0.4210 0.4210 0.7369
Pt 0.5790 0.5790 0.2631
Cl 0.0000 0.0000 0.0000

Output
The density of states at the Fermi level comes out at 0.744 states/eV per atom. As for the space-group type: R-3m. As for the magnetization: 0.000 μB/f.u. The calculation puts the density at 8.61 g cm⁻³.

Which structure is the least stable? The one labeled model P.

Model P:
Compound: Ac2PuCl
Source: the Alexandria database
Functional: PBE
Structure: optimized geometry

Cell: 3.7302 3.7302 9.9537 Å, 90.00 90.00 90.00°
Sites, in units of the cell vectors:
Ac 0.0000 0.0000 0.7626
Ac 0.0000 0.0000 0.2374
Cl 0.5000 0.5000 0.0000
Pu 0.5000 0.5000 0.5000

Output
The density of states at the Fermi level comes out at 2.098 states/eV per atom. As for the space-group type: P4/mmm. As for the magnetization: 7.079 μB/f.u. The calculation puts the density at 8.79 g cm⁻³.

Model Q:
Compound: Ac2PuCl
Source: the Alexandria database
Functional: PBE
Structure: optimized geometry

Cell: 3.9174 3.9174 10.9647 Å, 79.71 79.71 60.00°
Sites, in units of the cell vectors:
Ac 0.7576 0.7576 0.7273
Ac 0.2424 0.2424 0.2727
Cl 0.5000 0.5000 0.5000
Pu 0.0000 0.0000 0.0000

Output
The density of states at the Fermi level comes out at 1.726 states/eV per atom. As for the space-group type: R-3m. As for the magnetization: 6.889 μB/f.u. The calculation puts the density at 8.54 g cm⁻³.

Which structure is the least stable? The one labeled model P.

Model P:
Compound: Ac3RuCl3
Source: the Alexandria database
Functional: PBE
Structure: optimized geometry

Cell: 4.4303 9.3433 12.5235 Å, 94.14 90.00 90.00°
Sites, in units of the cell vectors:
Ac 0.2500 0.3356 0.6236
Ac 0.7500 0.6644 0.3764
Ac 0.2500 0.9042 0.6112
Ac 0.7500 0.0958 0.3888
Ac 0.2500 0.8639 0.1503
Ac 0.7500 0.1361 0.8497
Ru 0.2500 0.8794 0.3717
Ru 0.7500 0.1206 0.6283
Cl 0.2500 0.3963 0.3833
Cl 0.7500 0.6037 0.6167
Cl 0.2500 0.9209 0.8897
Cl 0.7500 0.0791 0.1103
Cl 0.2500 0.3538 0.8719
Cl 0.7500 0.6462 0.1281

Output
The density of states at the Fermi level comes out at 0.144 states/eV per atom. As for the space-group type: P2_1/m. As for the magnetization: 0.000 μB/f.u. The calculation puts the density at 5.71 g cm⁻³.

Model Q:
Compound: Ac3RuCl3
Source: the Alexandria database
Functional: PBE
Structure: optimized geometry

Cell: 9.0587 9.0587 7.4388 Å, 103.73 103.73 114.06°
Sites, in units of the cell vectors:
Ac 0.7968 0.7968 0.3379
Ac 0.9139 0.6490 0.8280
Ac 0.6490 0.9139 0.8280
Ac 0.0861 0.3510 0.1720
Ac 0.3510 0.0861 0.1720
Ac 0.2032 0.2032 0.6621
Ru 0.9717 0.9717 0.7874
Ru 0.0283 0.0283 0.2126
Cl 0.4470 0.4470 0.2005
Cl 0.2927 0.7073 0.5000
Cl 0.7073 0.2927 0.5000
Cl 0.2803 0.7197 0.0000
Cl 0.7197 0.2803 0.0000
Cl 0.5530 0.5530 0.7995

Output
The density of states at the Fermi level comes out at 0.448 states/eV per atom. As for the space-group type: C2/m. As for the magnetization: 0.000 μB/f.u. The calculation puts the density at 5.88 g cm⁻³.

Which structure is the least stable? The one labeled model Q.

Model P:
Compound: AcSbCl
Source: the Alexandria database
Functional: PBE
Structure: optimized geometry

Cell: 3.9348 3.9348 6.6090 Å, 107.32 107.32 90.00°
Sites, in units of the cell vectors:
Sb 0.0044 0.0044 0.0089
Ac 0.6919 0.6919 0.3837
Cl 0.3037 0.3037 0.6074

Output
The density of states at the Fermi level comes out at 0.548 states/eV per atom. As for the space-group type: I4mm. As for the magnetization: 0.000 μB/f.u. The calculation puts the density at 6.87 g cm⁻³.

Model Q:
Compound: AcSbCl
Source: the Alexandria database
Functional: PBE
Structure: optimized geometry

Cell: 4.1465 5.1352 5.1352 Å, 120.00 90.00 90.00°
Sites, in units of the cell vectors:
Sb 0.6666 0.6667 0.3333
Ac 0.1666 0.0000 0.0000
Cl 0.1668 0.3333 0.6667

Output
The density of states at the Fermi level comes out at 1.076 states/eV per atom. As for the space-group type: P-6m2. As for the magnetization: 0.000 μB/f.u. The calculation puts the density at 6.74 g cm⁻³.

Model R:
Compound: AcSbCl
Source: the Alexandria database
Functional: PBE
Structure: optimized geometry

Cell: 4.6522 6.3074 9.5083 Å, 59.74 60.31 67.48°
Sites, in units of the cell vectors:
Sb 0.7976 0.5993 0.1329
Sb 0.2024 0.4007 0.8671
Cl 0.0865 0.1629 0.5770
Cl 0.9135 0.8371 0.4230
Ac 0.5319 0.8629 0.7856
Ac 0.4681 0.1371 0.2144

Output
The density of states at the Fermi level comes out at 0.013 states/eV per atom. As for the space-group type: P-1. As for the magnetization: 0.000 μB/f.u. The calculation puts the density at 6.19 g cm⁻³.

Which structure is the least stable? The one labeled model P.